No. 1
LiAl | meta-GGA SCAN | single point on PBEsol structure

```
data_LiAl
_symmetry_space_group_name_H-M 'C m c m'
_symmetry_Int_Tables_number 63
_symmetry_space_group_name_Hall '-C 2c 2'
_cell_length_a 2.842
_cell_length_b 10.751
_cell_length_c 4.378
_cell_angle_alpha 90.00
_cell_angle_beta 90.00
_cell_angle_gamma 90.00
loop_
_atom_site_label
_atom_site_fract_x
_atom_site_fract_y
_atom_site_fract_z
Li1 0.000 0.169 0.250
Al1 0.000 0.431 0.250
```

ρ: 1684 kg/m3
Energy of formation: -0.105 eV/atom

---

No. 2
K2PaF7 | meta-GGA SCAN | single point on PBEsol structure

```
data_K2PaF7
_symmetry_space_group_name_H-M 'C 1 2/c 1'
_symmetry_Int_Tables_number 15
_symmetry_space_group_name_Hall '-C 2yc'
_cell_length_a 13.650
_cell_length_b 6.684
_cell_length_c 8.092
_cell_angle_alpha 90.00
_cell_angle_beta 124.93
_cell_angle_gamma 90.00
loop_
_atom_site_label
_atom_site_fract_x
_atom_site_fract_y
_atom_site_fract_z
K1 0.176 0.007 0.250
Pa1 0.000 0.478 0.750
F1 0.000 0.150 0.750
F2 0.076 0.365 0.068
F3 0.114 0.275 0.434
F4 0.179 0.384 0.854
```

E: -17.81 eV/atom
ρ: 4853 kg/m3

---

No. 3
NaLaCl3 | meta-GGA SCAN | single point on PBEsol structure

```
data_NaLaCl3
_symmetry_space_group_name_H-M 'P m -3 m'
_symmetry_Int_Tables_number 221
_symmetry_space_group_name_Hall '-P 4 2 3'
_cell_length_a 5.528
_cell_length_b 5.528
_cell_length_c 5.528
_cell_angle_alpha 90.00
_cell_angle_beta 90.00
_cell_angle_gamma 90.00
loop_
_atom_site_label
_atom_site_fract_x
_atom_site_fract_y
_atom_site_fract_z
Na1 0.000 0.000 0.000
La1 0.500 0.500 0.500
Cl1 0.000 0.500 0.500
```

E: -16.16 eV/atom
ρ: 2637 kg/m3

---

No. 4
Hf2Si2Ni | meta-GGA SCAN | single point on PBEsol structure

```
data_Hf2Si2Ni
_symmetry_space_group_name_H-M 'P 4/m b m'
_symmetry_Int_Tables_number 127
_symmetry_space_group_name_Hall '-P 4 2ab'
_cell_length_a 6.142
_cell_length_b 6.142
_cell_length_c 4.054
_cell_angle_alpha 90.00
_cell_angle_beta 90.00
_cell_angle_gamma 90.00
loop_
_atom_site_label
_atom_site_fract_x
_atom_site_fract_y
_atom_site_fract_z
Hf1 0.171 0.329 0.000
Si1 0.135 0.635 0.500
Ni1 0.000 0.000 0.500
```

E: -33.09 eV/atom
ρ: 10246 kg/m3

---

No. 5
ZnAgPb2 | meta-GGA SCAN | single point on PBEsol structure

```
data_ZnAgPb2
_symmetry_space_group_name_H-M 'P 4/m m m'
_symmetry_Int_Tables_number 123
_symmetry_space_group_name_Hall '-P 4 2'
_cell_length_a 3.558
_cell_length_b 3.558
_cell_length_c 7.133
_cell_angle_alpha 90.00
_cell_angle_beta 90.00
_cell_angle_gamma 90.00
loop_
_atom_site_label
_atom_site_fract_x
_atom_site_fract_y
_atom_site_fract_z
Zn1 0.000 0.000 0.000
Ag1 0.000 0.000 0.500
Pb1 0.500 0.500 0.249
```

ρ: 10806 kg/m3
Energy of formation: 0.204 eV/atom

---

No. 6
SrAsCl2 | meta-GGA SCAN | single point on PBEsol structure

```
data_SrAsCl2
_symmetry_space_group_name_H-M 'I -4 m 2'
_symmetry_Int_Tables_number 119
_symmetry_space_group_name_Hall 'I -4 -2'
_cell_length_a 4.032
_cell_length_b 4.032
_cell_length_c 11.523
_cell_angle_alpha 90.00
_cell_angle_beta 90.00
_cell_angle_gamma 90.00
loop_
_atom_site_label
_atom_site_fract_x
_atom_site_fract_y
_atom_site_fract_z
Sr1 0.000 0.000 0.000
As1 0.000 0.500 0.250
Cl1 0.000 0.000 0.500
Cl2 0.000 0.500 0.750
```

Distance to the lowest polymorph of the same formula: 0 meV/atom
ρ: 4139 kg/m3

---

No. 7
ThAl2Au2 | meta-GGA SCAN | single point on PBEsol structure

```
data_ThAl2Au2
_symmetry_space_group_name_H-M 'P 4/n m m'
_symmetry_Int_Tables_number 129
_cell_length_a 4.367
_cell_length_b 4.367
_cell_length_c 10.318
_cell_angle_alpha 90.00
_cell_angle_beta 90.00
_cell_angle_gamma 90.00
loop_
_symmetry_equiv_pos_as_xyz
'x,y,z'
'-x,-y,-z'
'-y+1/2,x,z'
'y+1/2,-x,-z'
'-x+1/2,-y+1/2,z'
'x+1/2,y+1/2,-z'
'y,-x+1/2,z'
'-y,x+1/2,-z'
'x+1/2,-y,-z'
'-x+1/2,y,z'
'-y,-x,-z'
'y,x,z'
'-x,y+1/2,-z'
'x,-y+1/2,z'
'y+1/2,x+1/2,-z'
'-y+1/2,-x+1/2,z'
loop_
_atom_site_label
_atom_site_fract_x
_atom_site_fract_y
_atom_site_fract_z
Th1 0.250 0.250 0.248
Al1 0.250 0.250 0.869
Al2 0.250 0.750 0.500
Au1 0.250 0.250 0.629
Au2 0.250 0.750 0.000
```

ρ: 11474 kg/m3
Energy of formation: -0.960 eV/atom

---

No. 8
RbFePd3 | meta-GGA SCAN | single point on PBEsol structure

```
data_RbFePd3
_symmetry_space_group_name_H-M 'P m -3 m'
_symmetry_Int_Tables_number 221
_symmetry_space_group_name_Hall '-P 4 2 3'
_cell_length_a 4.708
_cell_length_b 4.708
_cell_length_c 4.708
_cell_angle_alpha 90.00
_cell_angle_beta 90.00
_cell_angle_gamma 90.00
loop_
_atom_site_label
_atom_site_fract_x
_atom_site_fract_y
_atom_site_fract_z
Rb1 0.000 0.000 0.000
Fe1 0.500 0.500 0.500
Pd1 0.000 0.500 0.500
```

ρ: 7330 kg/m3
Energy of formation: 0.435 eV/atom